Crystalline CaNdY2 at its relaxed geometry, computed with PBE.

abc: 5.1440 5.1440 5.2237
angles: 90.00 90.00 90.00
Last column: nearest neighbours and their distance in Å.
Space group P4/mmm (No. 123)
One atom of each set of equivalent atoms:
Ca1 0.0000 0.0000 0.0000 [1 per cell]  4 Nd 3.64, 8 Y 3.67
Nd1 0.5000 0.5000 0.0000 [1 per cell]  4 Ca 3.64, 8 Y 3.67
Y1 0.0000 0.5000 0.5000 [2 per cell]  4 Y 3.64, 4 Nd 3.67, 4 Ca 3.67

Output
uncorrected energy = -4.813 eV/atom
energy above the lowest structure with this stoichiometry = 0.23 eV/f.u.
ΔH_f (0 K) = 0.11 eV per atom